1.
# Ac2Nd3Sn4

A relaxed structure of Ac2Nd3Sn4 (PBE-GGA, the Alexandria database).

Geometry as POSCAR:
```
Ac2Nd3Sn4
1.0
7.363 0.000 0.000
0.000 9.258 0.000
-3.681 0.000 8.966
Sn Nd Ac
8 6 4
Direct
0.717 0.750 0.934
0.783 0.250 0.066
0.283 0.250 0.066
0.314 0.445 0.628
0.686 0.555 0.372
0.217 0.750 0.934
0.814 0.055 0.628
0.186 0.945 0.372
0.543 0.750 0.585
0.500 0.500 0.000
0.457 0.250 0.415
0.000 0.000 0.000
0.957 0.250 0.415
0.043 0.750 0.585
0.390 0.086 0.780
0.890 0.414 0.780
0.110 0.586 0.220
0.610 0.914 0.220
```

Calculated values
Total energy   -4.928 eV per atom
Magnetization   0.0 μB/cell
ρ   7.4 Mg/m³
Relative energy among the computed polymorphs   0.130 eV/atom
Energy relative to the elements   -561.7 kJ/mol of formula units

2.
# CsI3N

A relaxed structure of CsI3N (PBE-GGA, the Alexandria database).

Geometry as POSCAR:
```
CsI3N
1.0
7.439 0.000 0.000
0.000 7.439 0.000
0.000 0.000 7.439
I Cs N
3 1 1
Direct
0.000 0.500 0.000
0.500 0.000 0.000
0.000 0.000 0.500
0.000 0.000 0.000
0.500 0.500 0.500
```

Calculated values
Total energy   -1.864 eV per atom
Magnetization   5.0 μB/cell
Energy relative to the elements, uncorrected   0.90 eV/atom
ρ   2.1 Mg/m³
Relative energy among the computed polymorphs   0.648 eV/atom

3.
# ErNpSn2

A relaxed structure of ErNpSn2 (PBE-GGA, the Alexandria database).

Geometry as POSCAR:
```
ErNpSn2
1.0
3.939 0.000 0.000
0.000 3.939 0.000
0.000 0.000 6.728
Sn Er Np
2 1 1
Direct
0.000 0.000 0.239
0.000 0.000 0.761
0.500 0.500 0.000
0.500 0.500 0.500
```

Calculated values
Total energy   -6.611 eV per atom
Magnetization   4.7 μB/cell
ρ   10.2 Mg/m³
Relative energy among the computed polymorphs   0.010 eV/atom
Energy relative to the elements   -90.1 kJ/mol of formula units

4.
# LaPu2S3

A relaxed structure of LaPu2S3 (PBE-GGA, the Alexandria database).

Geometry as POSCAR:
```
LaPu2S3
1.0
3.880 0.000 -1.099
-0.597 5.268 -2.108
-0.119 -0.311 6.977
S Pu La
3 2 1
Direct
0.000 0.000 0.000
0.676 0.676 0.351
0.324 0.324 0.649
0.665 0.165 0.330
0.335 0.835 0.670
0.000 0.500 0.000
```

Calculated values
Total energy   -9.546 eV per atom
Magnetization   11.4 μB/cell
Energy relative to the elements, uncorrected   -1.88 eV/atom
ρ   8.6 Mg/m³

5.
# Ho2SiHPd6

A relaxed structure of Ho2SiHPd6 (PBE-GGA, the Alexandria database).

Geometry as POSCAR:
```
Ho2SiHPd6
1.0
6.158 0.029 -0.301
0.029 6.158 -0.301
2.880 2.880 4.073
Ho Si H Pd
2 1 1 6
Direct
0.772 0.228 0.500
0.228 0.772 0.500
0.000 0.000 0.000
0.500 0.500 0.000
0.715 0.715 0.037
0.715 0.715 0.535
0.285 0.285 0.465
0.285 0.285 0.963
0.269 0.731 0.000
0.731 0.269 0.000
```

Calculated values
Total energy   -5.641 eV per atom
Magnetization   0.0 μB/cell
ρ   10.0 Mg/m³

6.
# Sc3Pb

A relaxed structure of Sc3Pb (PBE-GGA, the Alexandria database).

Geometry as POSCAR:
```
Sc3Pb
1.0
-5.473 -0.690 1.979
-1.236 -3.777 -4.736
4.650 -12.281 8.579
Sc Pb
18 6
Direct
0.360 0.250 0.914
0.082 0.750 0.750
0.417 0.005 0.250
0.417 0.495 0.250
0.360 0.250 0.586
0.141 0.500 0.083
0.918 0.250 0.250
0.859 0.000 0.917
0.583 0.995 0.750
0.859 0.500 0.583
0.141 0.000 0.083
0.859 0.500 0.917
0.859 0.000 0.583
0.583 0.505 0.750
0.640 0.750 0.414
0.141 0.500 0.417
0.141 0.000 0.417
0.640 0.750 0.086
0.361 0.750 0.916
0.361 0.750 0.584
0.062 0.250 0.750
0.639 0.250 0.084
0.938 0.750 0.250
0.639 0.250 0.416
```

Calculated values
Total energy   -5.953 eV per atom
Magnetization   4.4 μB/cell
ρ   6.0 Mg/m³
Energy relative to the elements   -107.1 kJ/mol of formula units

7.
# PmTmBiPd

A relaxed structure of PmTmBiPd (PBE-GGA, the Alexandria database).

Geometry as POSCAR:
```
PmTmBiPd
1.0
5.259 0.000 0.000
2.630 4.554 0.000
2.630 1.518 4.294
Tm Pm Pd Bi
1 1 1 1
Direct
0.750 0.750 0.750
0.250 0.250 0.250
0.000 0.000 0.000
0.500 0.500 0.500
```

Calculated values
Total energy   -5.199 eV per atom
Magnetization   0.8 μB/cell
ρ   10.2 Mg/m³
Energy relative to the elements   -241.1 kJ/mol of formula units

8.
# KTaTc2

A relaxed structure of KTaTc2 (PBE-GGA, the Alexandria database).

Geometry as POSCAR:
```
KTaTc2
1.0
-0.665 -0.896 2.851
-3.573 -3.008 -1.779
3.095 -3.459 -0.366
Tc Ta K
2 1 1
Direct
0.500 0.500 0.000
0.000 0.000 0.000
0.000 0.500 0.500
0.500 0.000 0.500
```

Calculated values
Total energy   -6.939 eV per atom
Magnetization   0.8 μB/cell
ρ   9.7 Mg/m³
Relative energy among the computed polymorphs   0.923 eV/atom
Energy relative to the elements   571.6 kJ/mol of formula units